DFT (GGA-PBE) results for an optimized crystal structure of Ti3Al2Pd4.

Cell and atoms, written as POSCAR:
```
Ti3Al2Pd4
1.0
3.925 -2.142 0.000
3.925 2.142 0.000
-0.711 0.000 8.250
Ti Al Pd
3 2 4
direct
0.000 0.000 0.000
0.329 0.329 0.431
0.671 0.671 0.569
0.336 0.336 0.776
0.664 0.664 0.224
0.004 0.004 0.670
0.337 0.337 0.097
0.663 0.663 0.903
0.996 0.996 0.330
```

Output
- Energy of formation from the pure elements: -667 meV/atom
- Space-group type: C2/m (12)
- Calculated total energy: -6.438 eV/atom